Entry 1:
# DyY2Pt9

A relaxed structure of DyY2Pt9 (PBE, the Alexandria database).

abc: 4.1239 4.1239 12.3716
angles: 90.00 90.00 90.00
Last column: nearest neighbours and their distance in Å.
Element x y z (fractional)
Dy 0.0000 0.0000 0.0000  12 Pt 2.91-2.92
Y 0.0000 0.0000 0.3331  12 Pt 2.92
Y 0.0000 0.0000 0.6669  12 Pt 2.92
Pt 0.5000 0.5000 0.0000  8 Pt 2.91, 4 Dy 2.92
Pt 0.5000 0.5000 0.3331  4 Y 2.92, 8 Pt 2.92
Pt 0.5000 0.5000 0.6669  4 Y 2.92, 8 Pt 2.92
Pt 0.5000 0.0000 0.1660  2 Dy 2.91, 8 Pt 2.91-2.92, 2 Y 2.92
Pt 0.5000 0.0000 0.5000  8 Pt 2.92, 4 Y 2.92
Pt 0.5000 0.0000 0.8340  8 Pt 2.91-2.92, 2 Dy 2.91, 2 Y 2.92
Pt 0.0000 0.5000 0.1660  2 Dy 2.91, 8 Pt 2.91-2.92, 2 Y 2.92
Pt 0.0000 0.5000 0.5000  8 Pt 2.92, 4 Y 2.92
Pt 0.0000 0.5000 0.8340  8 Pt 2.91-2.92, 2 Dy 2.91, 2 Y 2.92

Summary:
- M_tot (μB/f.u.) = 0.0
- crystal system = tetragonal
- energy relative to the elements (eV/atom) = -1.012
- space-group type = No. 123
- raw total energy (eV/atom) = -7.003
- D(E_F) (states/eV/cell) = 11.97

Entry 2:
# DyY2Pt

A relaxed structure of DyY2Pt (PBE, the Alexandria database).

abc: 6.5226 7.0568 9.6239
angles: 90.00 90.00 90.00
Last column: nearest neighbours and their distance in Å.
Element x y z (fractional)
Dy 0.6328 0.5274 0.2500  2 Pt 2.80-2.88
Dy 0.8672 0.0274 0.2500  2 Pt 2.80-2.88
Dy 0.3672 0.4726 0.7500  2 Pt 2.80-2.88
Dy 0.1328 0.9726 0.7500  2 Pt 2.80-2.88
Y 0.1795 0.6795 0.0611  2 Pt 2.88-2.94
Y 0.3205 0.1795 0.4389  2 Pt 2.88-2.94
Y 0.8205 0.3205 0.5611  2 Pt 2.88-2.94
Y 0.6795 0.8205 0.9389  2 Pt 2.88-2.94
Y 0.8205 0.3205 0.9389  2 Pt 2.88-2.94
Y 0.6795 0.8205 0.5611  2 Pt 2.88-2.94
Y 0.1795 0.6795 0.4389  2 Pt 2.88-2.94
Y 0.3205 0.1795 0.0611  2 Pt 2.88-2.94
Pt 0.0471 0.3876 0.2500  2 Dy 2.80-2.88, 4 Y 2.88-2.94
Pt 0.4529 0.8876 0.2500  2 Dy 2.80-2.88, 4 Y 2.88-2.94
Pt 0.9529 0.6124 0.7500  2 Dy 2.80-2.88, 4 Y 2.88-2.94
Pt 0.5471 0.1124 0.7500  2 Dy 2.80-2.88, 4 Y 2.88-2.94

Summary:
- M_tot (μB/f.u.) = 0.0
- crystal system = orthorhombic
- energy relative to the elements (eV/atom) = -0.713
- space-group type = No. 62
- raw total energy (eV/atom) = -6.606
- D(E_F) (states/eV/cell) = 17.80

Entry 3:
# Dy4Y3Pt4

A relaxed structure of Dy4Y3Pt4 (PBE, the Alexandria database).

abc: 4.4070 8.0775 8.9969
angles: 116.67 104.18 90.00
Last column: nearest neighbours and their distance in Å.
Element x y z (fractional)
Dy 0.3312 0.1266 0.6624  4 Pt 2.77-2.97
Dy 0.6688 0.4642 0.3376  4 Pt 2.77-2.97
Dy 0.6688 0.8734 0.3376  4 Pt 2.77-2.97
Dy 0.3312 0.5358 0.6624  4 Pt 2.77-2.97
Y 0.1029 0.1029 0.2059  4 Pt 3.09, 1 Y 3.18, 4 Dy 3.40
Y 0.8971 0.8971 0.7941  4 Pt 3.09, 1 Y 3.18, 4 Dy 3.40
Y 0.0000 0.5000 0.0000  6 Pt 3.36-3.39
Pt 0.2171 0.7171 0.4342  6 Dy 2.85-2.97
Pt 0.7829 0.2829 0.5658  6 Dy 2.85-2.97
Pt 0.5000 0.8190 0.0000  2 Dy 2.77, 1 Pt 2.92, 4 Y 3.09
Pt 0.5000 0.1810 0.0000  2 Dy 2.77, 1 Pt 2.92, 4 Y 3.09

Summary:
- M_tot (μB/f.u.) = 0.0
- crystal system = orthorhombic
- energy relative to the elements (eV/atom) = -0.894
- space-group type = No. 71
- raw total energy (eV/atom) = -6.527
- D(E_F) (states/eV/cell) = 11.88

Entry 4:
# DyY2Pt

A relaxed structure of DyY2Pt (PBE, the Alexandria database).

abc: 3.9085 3.9085 9.3478
angles: 77.93 77.93 60.00
Last column: nearest neighbours and their distance in Å.
Element x y z (fractional)
Dy 0.5016 0.5016 0.4953  6 Y 3.60-3.68, 6 Dy 3.91
Y 0.0613 0.0613 0.8161  3 Pt 2.82
Y 0.2713 0.2713 0.1860  3 Pt 2.80
Pt 0.6658 0.6658 0.0025  6 Y 2.80-2.82

Summary:
- M_tot (μB/f.u.) = 0.0
- crystal system = trigonal
- energy relative to the elements (eV/atom) = -0.497
- space-group type = No. 160
- raw total energy (eV/atom) = -6.389
- D(E_F) (states/eV/cell) = 5.14

Entry 5:
# Dy2YPt

A relaxed structure of Dy2YPt (PBE, the Alexandria database).

abc: 3.8228 6.3603 9.3321
angles: 90.00 90.00 107.48
Last column: nearest neighbours and their distance in Å.
Element x y z (fractional)
Dy 0.1374 0.2743 0.4374  2 Pt 2.87
Dy 0.8626 0.7257 0.5626  2 Pt 2.87
Dy 0.8626 0.7257 0.9374  2 Pt 2.87
Dy 0.1374 0.2743 0.0626  2 Pt 2.87
Y 0.4327 0.8657 0.2500  2 Pt 3.03
Y 0.5673 0.1343 0.7500  2 Pt 3.03
Pt 0.7387 0.4772 0.2500  4 Dy 2.87, 2 Y 3.03
Pt 0.2613 0.5228 0.7500  4 Dy 2.87, 2 Y 3.03

Summary:
- M_tot (μB/f.u.) = 0.0
- crystal system = orthorhombic
- energy relative to the elements (eV/atom) = -0.682
- space-group type = No. 63
- raw total energy (eV/atom) = -6.109
- D(E_F) (states/eV/cell) = 9.43

Entry 6:
# DyYPt6

A relaxed structure of DyYPt6 (PBE, the Alexandria database).

abc: 4.1227 4.1227 8.2446
angles: 90.00 90.00 90.00
Last column: nearest neighbours and their distance in Å.
Element x y z (fractional)
Dy 0.0000 0.0000 0.0000  12 Pt 2.91-2.92
Y 0.0000 0.0000 0.5000  12 Pt 2.92
Pt 0.5000 0.5000 0.0000  8 Pt 2.91, 4 Dy 2.92
Pt 0.5000 0.5000 0.5000  4 Y 2.92, 8 Pt 2.92
Pt 0.5000 0.0000 0.2493  2 Dy 2.91, 8 Pt 2.91-2.92, 2 Y 2.92
Pt 0.5000 0.0000 0.7507  2 Dy 2.91, 8 Pt 2.91-2.92, 2 Y 2.92
Pt 0.0000 0.5000 0.2493  2 Dy 2.91, 8 Pt 2.91-2.92, 2 Y 2.92
Pt 0.0000 0.5000 0.7507  8 Pt 2.91-2.92, 2 Dy 2.91, 2 Y 2.92

Summary:
- M_tot (μB/f.u.) = 0.0
- crystal system = tetragonal
- energy relative to the elements (eV/atom) = -1.018
- space-group type = No. 123
- raw total energy (eV/atom) = -6.932
- D(E_F) (states/eV/cell) = 7.90

Entry 7:
# Dy3YPt2

A relaxed structure of Dy3YPt2 (PBE, the Alexandria database).

abc: 4.7724 7.1722 8.8061
angles: 90.00 90.00 90.00
Last column: nearest neighbours and their distance in Å.
Element x y z (fractional)
Dy 0.0000 0.4907 0.9167  3 Pt 2.83-3.06
Dy 0.0000 0.9907 0.0833  3 Pt 2.83-3.06
Dy 0.5000 0.6440 0.1687  4 Pt 2.88-2.95
Dy 0.5000 0.1440 0.8313  4 Pt 2.88-2.95
Dy 0.0000 0.3559 0.3305  4 Pt 2.88-2.96
Dy 0.0000 0.8559 0.6695  4 Pt 2.88-2.96
Y 0.5000 0.5094 0.5817  3 Pt 2.85-3.07
Y 0.5000 0.0094 0.4183  3 Pt 2.85-3.07
Pt 0.5000 0.7427 0.8437  1 Y 2.85, 6 Dy 2.88-3.06
Pt 0.5000 0.2427 0.1563  1 Y 2.85, 6 Dy 2.88-3.06
Pt 0.0000 0.2573 0.6573  5 Dy 2.83-2.96, 2 Y 3.07
Pt 0.0000 0.7573 0.3427  5 Dy 2.83-2.96, 2 Y 3.07

Summary:
- M_tot (μB/f.u.) = 0.0
- crystal system = orthorhombic
- energy relative to the elements (eV/atom) = -0.952
- space-group type = No. 26
- raw total energy (eV/atom) = -6.344
- D(E_F) (states/eV/cell) = 12.23

Entry 8:
# Dy2YPt

A relaxed structure of Dy2YPt (PBE, the Alexandria database).

abc: 3.5811 3.5811 8.4074
angles: 90.00 90.00 90.00
Last column: nearest neighbours and their distance in Å.
Element x y z (fractional)
Y 0.5000 0.5000 0.5000  4 Y 3.58, 8 Dy 3.61
Pt 0.5000 0.5000 0.0000  8 Dy 3.01
Dy 0.0000 0.0000 0.8056  4 Pt 3.01, 1 Dy 3.27
Dy 0.0000 0.0000 0.1944  4 Pt 3.01, 1 Dy 3.27

Summary:
- M_tot (μB/f.u.) = 0.0
- crystal system = tetragonal
- energy relative to the elements (eV/atom) = -0.588
- space-group type = No. 123
- raw total energy (eV/atom) = -6.015
- D(E_F) (states/eV/cell) = 4.89

Entry 9:
# Dy2YPt

A relaxed structure of Dy2YPt (PBE, the Alexandria database).

abc: 3.7928 3.7928 9.7374
angles: 78.77 78.77 60.00
Last column: nearest neighbours and their distance in Å.
Element x y z (fractional)
Y 0.5000 0.5000 0.5000  6 Dy 3.69, 6 Y 3.79
Pt 0.0000 0.0000 0.0000  6 Dy 2.82
Dy 0.2710 0.2710 0.1869  3 Pt 2.82
Dy 0.7290 0.7290 0.8131  3 Pt 2.82

Summary:
- M_tot (μB/f.u.) = 0.0
- crystal system = trigonal
- energy relative to the elements (eV/atom) = -0.499
- space-group type = No. 166
- raw total energy (eV/atom) = -5.926
- D(E_F) (states/eV/cell) = 4.72

Entry 10:
# Dy3YPt

A relaxed structure of Dy3YPt (PBE, the Alexandria database).

abc: 6.0616 6.7253 7.6100
angles: 90.01 90.00 90.00
Last column: nearest neighbours and their distance in Å.
Element x y z (fractional)
Dy 0.4187 0.3272 0.2009  1 Pt 2.83
Dy 0.4249 0.8753 0.9539  2 Pt 2.77-2.78
Dy 0.9248 0.4774 0.4540  2 Pt 2.78
Dy 0.9186 0.0256 0.7006  1 Pt 2.83
Dy 0.9248 0.4775 0.9476  2 Pt 2.78
Dy 0.4247 0.8753 0.4475  2 Pt 2.78
Y 0.4302 0.3193 0.7009  1 Pt 2.84
Y 0.9303 0.0334 0.2006  1 Pt 2.84
Pt 0.1796 0.6769 0.7008  5 Dy 2.77-2.83, 1 Y 2.84
Pt 0.6796 0.6759 0.2008  5 Dy 2.78-2.83, 1 Y 2.84

Summary:
- M_tot (μB/f.u.) = 0.0
- crystal system = orthorhombic
- energy relative to the elements (eV/atom) = -0.423
- space-group type = No. 31
- raw total energy (eV/atom) = -5.685
- D(E_F) (states/eV/cell) = 11.63